Record 1
The following is a GGA-PBE calculation of a geometry-optimized Nd4IrPt structure, from the Alexandria database.

The structure in POSCAR format:
```
Nd4IrPt
1.0
6.3423 -0.0107 3.1204
-1.2305 6.5127 2.4593
-0.3447 0.4775 8.6630
Nd Ir Pt
8 2 2
Direct
0.0990 0.6501 0.7485 Nd
0.6511 0.0977 0.7490 Nd
0.5985 0.5975 0.7496 Nd
0.3489 0.9023 0.2510 Nd
0.4015 0.4025 0.2504 Nd
0.8487 0.8499 0.2516 Nd
0.1513 0.1501 0.7484 Nd
0.9010 0.3499 0.2515 Nd
0.5000 0.5000 0.5000 Ir
0.0000 0.0000 0.5000 Ir
0.7502 0.2499 0.0000 Pt
0.2498 0.7501 0.0000 Pt
```

Results
Its total magnetization is 0.00 μB per formula unit. The density of states at the Fermi level comes out at 12.55 states/eV per cell. The formation energy comes out at -0.623 eV per atom. Its energy above the most stable polymorph in this dataset is 2.6 meV/atom.

Record 2
The following is a GGA-PBE calculation of a geometry-optimized CeHoGa2Cu2 structure, from the Alexandria database.

The structure in POSCAR format:
```
CeHoGa2Cu2
1.0
-0.4278 2.9526 3.1760
-3.5187 -1.4229 -2.1403
-0.7947 -5.3372 4.8548
Ho Ce Cu Ga
1 1 2 2
Direct
0.0000 0.0000 0.5000 Ho
0.0000 0.0000 0.0000 Ce
0.3333 0.6667 0.7299 Cu
0.6667 0.3333 0.2701 Cu
0.6667 0.3333 0.7451 Ga
0.3333 0.6667 0.2549 Ga
```

Results
Its total magnetization is 0.35 μB per formula unit. The density of states at the Fermi level comes out at 6.03 states/eV per cell. The formation energy comes out at -0.449 eV per atom.

Record 3
The following is a GGA-PBE calculation of a geometry-optimized PH2 structure, from the Alexandria database.

The structure in POSCAR format:
```
PH2
1.0
-0.5562 2.2961 -0.5722
-1.3049 -0.7880 -1.8935
-3.5156 -0.2246 2.5161
P H
1 2
Direct
0.0000 0.0000 0.5000 P
0.0000 0.0000 0.8780 H
0.0000 0.0000 0.1220 H
```

Results
Its total magnetization is 0.00 μB per formula unit. The density of states at the Fermi level comes out at 0.44 states/eV per cell. Its energy above the most stable polymorph in this dataset is 208.3 meV/atom.